[1]
A relaxed Tm2TaB2Ru5 crystal. Source: Alexandria via LeMat-Bulk, functional GGA-PBE.

## Properties
Its spin magnetization is 0.0 μB/f.u. The formation energy is -0.56 eV per atom.

Unit cell a=3.115 b=9.634 c=9.634 alpha=90.00 beta=90.00 gamma=90.00
Fractional coordinates of all 20 atoms:
Ru1 0.500 0.782 0.929
Ru2 0.500 0.718 0.429
Ru3 0.500 0.282 0.571
Ta1 0.000 0.500 0.500
Tm1 0.000 0.325 0.825
Ru4 0.500 0.571 0.718
Ru5 0.500 0.429 0.282
B1 0.000 0.879 0.379
B2 0.000 0.621 0.879
Tm2 0.000 0.825 0.675
Ru6 0.500 0.218 0.071
B3 0.000 0.121 0.621
Ru7 0.500 0.071 0.782
B4 0.000 0.379 0.121
Ru8 0.500 0.929 0.218
Ru9 0.500 0.000 0.500
Tm3 0.000 0.175 0.325
Ru10 0.500 0.500 0.000
Tm4 0.000 0.675 0.175
Ta2 0.000 0.000 0.000



[2]
A relaxed TaV2B2Ru5 crystal. Source: Alexandria via LeMat-Bulk, functional GGA-PBE.

## Properties
Its spin magnetization is 0.3 μB/f.u. The formation energy is -0.34 eV per atom.

Unit cell a=2.971 b=9.335 c=9.335 alpha=90.00 beta=90.00 gamma=90.00
Last column: magnetic moment on the atom in μB.
Fractional coordinates of all 20 atoms:
V1 0.000 0.324 0.824  0.19
V2 0.000 0.176 0.324  0.19
Ru1 0.500 0.718 0.426  -0.02
Ta1 0.000 0.000 0.000  -0.01
V3 0.000 0.676 0.176  0.19
Ru2 0.500 0.282 0.574  -0.02
Ru3 0.500 0.000 0.500  -0.01
Ru4 0.500 0.074 0.782  -0.02
Ta2 0.000 0.500 0.500  -0.01
B1 0.000 0.879 0.379  0.00
Ru5 0.500 0.500 0.000  -0.01
Ru6 0.500 0.426 0.282  -0.02
V4 0.000 0.824 0.676  0.19
Ru7 0.500 0.574 0.718  -0.02
B2 0.000 0.621 0.879  0.00
B3 0.000 0.379 0.121  0.00
Ru8 0.500 0.218 0.074  -0.02
Ru9 0.500 0.926 0.218  -0.02
B4 0.000 0.121 0.621  0.00
Ru10 0.500 0.782 0.926  -0.02



Question: Which value of spin magnetization does entry 2 give?
Answer: 0.3 μB/f.u.



Question: The lowest spin magnetization belongs to which entry?
Answer: Tm2TaB2Ru5



Question: What is the spin magnetization in the first record?
Answer: 0.0 μB/f.u.



Question: Number 1 is which compound?
Answer: Tm2TaB2Ru5